First-principles (PBE with a Hubbard U) data for a relaxed structure of CsCrAg2O4, as listed in the Alexandria database. Values from VASP.

**E_tot**: -5.18 eV per atom
**Calculated volume**: 139.2 Å³/f.u.
**Total magnetic moment**: 1.0 Bohr magnetons per cell

Quantum ESPRESSO input file:
```
&SYSTEM
  ibrav = 0, nat = 8, ntyp = 4
/
ATOMIC_SPECIES
Cs 132.91 Cs.upf
Cr 52.00 Cr.upf
Ag 107.87 Ag.upf
O 16.00 O.upf
ATOMIC_POSITIONS crystal
Cs 0.000 0.000 0.000
Cr 0.500 0.500 0.000
Ag 0.750 0.250 0.501
Ag 0.250 0.750 0.501
O 0.532 0.532 0.733
O 0.468 0.799 0.267
O 0.799 0.468 0.267
O 0.201 0.201 0.733
CELL_PARAMETERS angstrom
-0.881 5.170 -2.814
-5.099 0.751 2.976
4.932 -1.078 2.770
```